1.
# PmScZnAg (PBE, relaxed)
# Energy above the lowest structure with this stoichiometry in meV/atom: 0.0
# Total magnetic moment in μB/atom: 0.000
# Volume in Å³/atom: 22.22
# Formation energy from the elements in eV per formula unit: -1.17
data_PmScZnAg
_chemical_formula_sum 'Pm1 Sc1 Zn1 Ag1'
_space_group_name_H-M_alt 'P 4 m m'
_space_group_IT_number 99
_cell_length_a 3.511
_cell_length_b 3.511
_cell_length_c 7.210
_cell_angle_alpha 90.00
_cell_angle_beta 90.00
_cell_angle_gamma 90.00
loop_
_space_group_symop_operation_xyz
'x,y,z'
'-y,x,z'
'-x,-y,z'
'y,-x,z'
'-x,y,z'
'y,x,z'
'x,-y,z'
'-y,-x,z'
loop_
_atom_site_label
_atom_site_fract_x
_atom_site_fract_y
_atom_site_fract_z
Pm1 0.000 0.000 0.000
Sc1 0.000 0.000 0.482
Zn1 0.500 0.500 0.274
Ag1 0.500 0.500 0.703



2.
# Pm3AgSe2 (PBE, relaxed)
# Uncorrected formation energy in eV/f.u.: -6.0
# Total magnetic moment in μB/atom: 0.000
# Volume in Å³/atom: 28.23
data_Pm3AgSe2
_chemical_formula_sum 'Pm12 Ag4 Se8'
_space_group_name_H-M_alt 'C m c m'
_space_group_IT_number 63
_space_group_name_Hall '-C 2c 2'
_cell_length_a 4.893
_cell_length_b 13.324
_cell_length_c 10.394
_cell_angle_alpha 90.00
_cell_angle_beta 90.00
_cell_angle_gamma 90.00
loop_
_atom_site_label
_atom_site_fract_x
_atom_site_fract_y
_atom_site_fract_z
Pm1 0.000 0.116 0.250
Pm2 0.000 0.365 0.051
Ag1 0.000 0.228 0.750
Se1 0.000 0.000 0.000
Se2 0.000 0.483 0.750



3.
# Pm2AgSe (PBE, relaxed)
# Energy above the lowest structure with this stoichiometry in meV/atom: 180.4
# Uncorrected formation energy in eV/f.u.: -3.4
# Total magnetic moment in μB/atom: 0.080
# Volume in Å³/atom: 24.96
data_Pm2AgSe
_chemical_formula_sum 'Pm2 Ag1 Se1'
_space_group_name_H-M_alt 'P 4/m m m'
_space_group_IT_number 123
_space_group_name_Hall '-P 4 2'
_cell_length_a 3.703
_cell_length_b 3.703
_cell_length_c 7.280
_cell_angle_alpha 90.00
_cell_angle_beta 90.00
_cell_angle_gamma 90.00
loop_
_atom_site_label
_atom_site_fract_x
_atom_site_fract_y
_atom_site_fract_z
Pm1 0.000 0.000 0.244
Ag1 0.500 0.500 0.500
Se1 0.500 0.500 0.000



4.
# Pm2Ag4Se5 (PBE, relaxed)
# Uncorrected formation energy in eV/f.u.: -8.2
# Total magnetic moment in μB/atom: 0.000
# Volume in Å³/atom: 26.19
data_Pm2Ag4Se5
_chemical_formula_sum 'Pm6 Ag12 Se15'
_space_group_name_H-M_alt 'R -3 m'
_space_group_IT_number 166
_space_group_name_Hall '-R 3 2"'
_cell_length_a 4.2937
_cell_length_b 4.2937
_cell_length_c 54.1291
_cell_angle_alpha 90.00
_cell_angle_beta 90.00
_cell_angle_gamma 120.00
loop_
_atom_site_label
_atom_site_fract_x
_atom_site_fract_y
_atom_site_fract_z
Pm1 0.0000 0.0000 0.1348
Ag1 0.0000 0.0000 0.3117
Ag2 0.0000 0.0000 0.4147
Se1 0.0000 0.0000 0.2285
Se2 0.0000 0.0000 0.3673
Se3 0.0000 0.0000 0.5000



5.
# Pm2AgSe (PBE, relaxed)
# Energy above the lowest structure with this stoichiometry in meV/atom: 168.5
# Uncorrected formation energy in eV/f.u.: -3.5
# Total magnetic moment in μB/atom: 0.000
# Volume in Å³/atom: 28.02
data_Pm2AgSe
_chemical_formula_sum 'Pm6 Ag3 Se3'
_space_group_name_H-M_alt 'R 3 m'
_space_group_IT_number 160
_space_group_name_Hall 'R 3 -2"'
_cell_length_a 4.0895
_cell_length_b 4.0895
_cell_length_c 23.2143
_cell_angle_alpha 90.00
_cell_angle_beta 90.00
_cell_angle_gamma 120.00
loop_
_atom_site_label
_atom_site_fract_x
_atom_site_fract_y
_atom_site_fract_z
Pm1 0.0000 0.0000 0.0000
Pm2 0.0000 0.0000 0.1661
Ag1 0.0000 0.0000 0.5838
Se1 0.0000 0.0000 0.4152



6.
# Pm2AgSe (PBE, relaxed)
# Energy above the lowest structure with this stoichiometry in meV/atom: 0.0
# Uncorrected formation energy in eV/f.u.: -4.2
# Total magnetic moment in μB/atom: 0.000
# Volume in Å³/atom: 26.83
data_Pm2AgSe
_chemical_formula_sum 'Pm8 Ag4 Se4'
_space_group_name_H-M_alt 'C m c m'
_space_group_IT_number 63
_space_group_name_Hall '-C 2c 2'
_cell_length_a 4.166
_cell_length_b 24.084
_cell_length_c 4.279
_cell_angle_alpha 90.00
_cell_angle_beta 90.00
_cell_angle_gamma 90.00
loop_
_atom_site_label
_atom_site_fract_x
_atom_site_fract_y
_atom_site_fract_z
Pm1 0.000 0.071 0.250
Pm2 0.000 0.314 0.250
Ag1 0.000 0.459 0.250
Se1 0.000 0.192 0.250



7.
# Pm2AgSe3 (PBE, relaxed)
# Uncorrected formation energy in eV/f.u.: -7.9
# Total magnetic moment in μB/atom: 0.000
# Volume in Å³/atom: 25.61
data_Pm2AgSe3
_chemical_formula_sum 'Pm4 Ag2 Se6'
_space_group_name_H-M_alt 'I m m m'
_space_group_IT_number 71
_space_group_name_Hall '-I 2 2'
_cell_length_a 3.848
_cell_length_b 4.845
_cell_length_c 16.484
_cell_angle_alpha 90.00
_cell_angle_beta 90.00
_cell_angle_gamma 90.00
loop_
_atom_site_label
_atom_site_fract_x
_atom_site_fract_y
_atom_site_fract_z
Pm1 0.000 0.000 0.142
Ag1 0.000 0.000 0.500
Se1 0.000 0.000 0.322
Se2 0.000 0.500 0.500



8.
# Pm2AgSe (PBE, relaxed)
# Energy above the lowest structure with this stoichiometry in meV/atom: 77.7
# Uncorrected formation energy in eV/f.u.: -3.9
# Total magnetic moment in μB/atom: 0.000
# Volume in Å³/atom: 27.65
data_Pm2AgSe
_chemical_formula_sum 'Pm6 Ag3 Se3'
_space_group_name_H-M_alt 'R -3 m'
_space_group_IT_number 166
_space_group_name_Hall '-R 3 2"'
_cell_length_a 4.1758
_cell_length_b 4.1758
_cell_length_c 21.9718
_cell_angle_alpha 90.00
_cell_angle_beta 90.00
_cell_angle_gamma 120.00
loop_
_atom_site_label
_atom_site_fract_x
_atom_site_fract_y
_atom_site_fract_z
Pm1 0.0000 0.0000 0.2451
Ag1 0.0000 0.0000 0.0000
Se1 0.0000 0.0000 0.5000



- What is the formula in the fourth record?
  Pm2Ag4Se5